Arrangement i

Compound: Tm2Au2O5
Source: OQMD via LeMat-Bulk
Functional: GGA-PBE
Structure: relaxed

**Total magnetization**: 1.40 μB/f.u.

a b c (Å): 8.6935 3.9170 3.9170
angles (deg): 90.00 90.00 90.00
Last column: nearest neighbours and their distance in Å.
Positions (direct):
Tm 0.2539 0.5000 0.5000  5 O 2.14-2.15
Tm 0.7461 0.5000 0.5000  5 O 2.14-2.15
O 0.8483 0.0000 0.5000  2 Tm 2.15, 2 Au 2.36
O 0.1517 0.0000 0.5000  2 Tm 2.15, 2 Au 2.36
O 0.8483 0.5000 0.0000  2 Tm 2.15, 2 Au 2.36
O 0.1517 0.5000 0.0000  2 Tm 2.15, 2 Au 2.36
O 0.5000 0.5000 0.5000  2 Tm 2.14
Au 0.5000 0.0000 0.0000  4 O 2.77
Au 0.0000 0.0000 0.0000  8 O 2.36

Arrangement ii

Compound: Tm2Au2O5
Source: OQMD via LeMat-Bulk
Functional: GGA-PBE
Structure: relaxed

**Total magnetization**: 0.01 μB/f.u.

a b c (Å): 6.9119 4.1588 4.1588
angles (deg): 90.00 90.00 90.00
Last column: nearest neighbours and their distance in Å.
Positions (direct):
Au 0.1904 0.5000 0.5000  5 O 2.09-2.14
Au 0.8096 0.5000 0.5000  5 O 2.09-2.14
O 0.7762 0.5000 0.0000  2 Au 2.09
O 0.5000 0.5000 0.5000  2 Au 2.14
O 0.2238 0.5000 0.0000  2 Au 2.09
O 0.2238 0.0000 0.5000  2 Au 2.09
O 0.7762 0.0000 0.5000  2 Au 2.09
Tm 0.0000 0.0000 0.0000  8 O 2.59
Tm 0.5000 0.0000 0.0000  12 O 2.82-2.94

Stability order, top to bottom: arrangement i, arrangement ii

Arrangement i

Compound: Zn2Au2O5
Source: OQMD via LeMat-Bulk
Functional: GGA-PBE
Structure: relaxed

a b c (Å): 8.2084 3.6439 3.6439
angles (deg): 90.00 90.00 90.00
Last column: nearest neighbours and their distance in Å.
Positions (direct):
O 0.5000 0.5000 0.5000  2 Zn 1.97
O 0.8442 0.5000 0.0000  2 Zn 2.01, 2 Au 2.23
O 0.1558 0.5000 0.0000  2 Zn 2.01, 2 Au 2.23
O 0.1558 0.0000 0.5000  2 Zn 2.01, 2 Au 2.23
O 0.8442 0.0000 0.5000  2 Zn 2.01, 2 Au 2.23
Au 0.5000 0.0000 0.0000  4 O 2.58
Au 0.0000 0.0000 0.0000  8 O 2.23
Zn 0.7406 0.5000 0.5000  5 O 1.97-2.01
Zn 0.2594 0.5000 0.5000  5 O 1.97-2.01

Arrangement ii

Compound: Zn2Au2O5
Source: OQMD via LeMat-Bulk
Functional: GGA-PBE
Structure: relaxed

a b c (Å): 6.7559 4.0689 4.0689
angles (deg): 90.00 90.00 90.00
Last column: nearest neighbours and their distance in Å.
Positions (direct):
O 0.2106 0.0000 0.5000  2 Au 2.04
O 0.7894 0.0000 0.5000  2 Au 2.04
O 0.7894 0.5000 0.0000  2 Au 2.04
O 0.5000 0.5000 0.5000  2 Au 2.07
O 0.2106 0.5000 0.0000  2 Au 2.04
Au 0.8058 0.5000 0.5000  5 O 2.04-2.07
Au 0.1942 0.5000 0.5000  5 O 2.04-2.07
Zn 0.0000 0.0000 0.0000  8 O 2.48
Zn 0.5000 0.0000 0.0000  12 O 2.82-2.88

Stability order, top to bottom: arrangement i, arrangement ii

Arrangement i

Compound: PuOsAu
Source: OQMD via LeMat-Bulk
Functional: GGA-PBE
Structure: relaxed

**Total magnetization**: 3.89 μB/f.u.

a b c (Å): 4.5015 4.5015 4.5015
angles (deg): 60.00 60.00 60.00
Last column: nearest neighbours and their distance in Å.
Positions (direct):
Pu 0.7500 0.7500 0.7500  4 Os 2.76
Os 0.0000 0.0000 0.0000  4 Au 2.76, 4 Pu 2.76
Au 0.2500 0.2500 0.2500  4 Os 2.76

Arrangement ii

Compound: PuOsAu
Source: OQMD via LeMat-Bulk
Functional: GGA-PBE
Structure: relaxed

**Total magnetization**: 0.00 μB/f.u.

a b c (Å): 4.5132 4.5132 4.5132
angles (deg): 60.00 60.00 60.00
Last column: nearest neighbours and their distance in Å.
Positions (direct):
Os 0.0000 0.0000 0.0000  4 Pu 2.76
Pu 0.2500 0.2500 0.2500  4 Au 2.76, 4 Os 2.76
Au 0.5000 0.5000 0.5000  4 Pu 2.76

Stability order, top to bottom: arrangement i, arrangement ii